VASP calculation (PBE) on a relaxed structure of BeSiTe2Pt.

Geometry as POSCAR:
```
BeSiTe2Pt
1.0
5.373 0.000 0.000
0.000 4.200 0.000
0.000 0.000 5.373
Be Si Te Pt
1 1 2 1
direct
0.000 0.500 0.000 Be
0.500 0.500 0.500 Si
0.000 0.000 0.500 Te
0.500 0.000 0.000 Te
0.000 0.000 0.000 Pt
```

Values from the calculation:
Formation energy (no corrections) in eV/atom: 0.4745
Magnetic moment in μB per formula unit: 0.0
Raw total energy in eV per atom: -3.820